No. 1
Material: PaSe2O6
Method: DFT, PBE-GGA
State: relaxed

Properties
Volume (A^3/atom): 21.2
Formation energy from raw total energies (eV/atom): -1.69
DOS(E_F) (states/eV per cell): 3.02
Space group: No. 14

```
data_PaSe2O6
_chemical_formula_sum 'Pa2 Se4 O12'
_cell_length_a 5.8914
_cell_length_b 7.1087
_cell_length_c 9.1132
_cell_angle_alpha 90.00
_cell_angle_beta 89.93
_cell_angle_gamma 90.00
_space_group_name_H-M_alt 'P 1'
_space_group_IT_number 1
loop_
_space_group_symop_operation_xyz
'x,y,z'
loop_
_atom_site_label
_atom_site_fract_x
_atom_site_fract_y
_atom_site_fract_z
_atom_site_occupancy
O1 0.7748 0.4060 0.1583 1
Pa1 0.0000 0.0000 0.5000 1
O2 0.0026 0.7123 0.6042 1
O3 0.7252 0.9060 0.3417 1
Se1 0.4994 0.0310 0.7696 1
Pa2 0.5000 0.5000 0.0000 1
O4 0.5026 0.7877 0.1042 1
Se2 0.5006 0.9690 0.2304 1
O5 0.9974 0.2877 0.3958 1
O6 0.7287 0.0929 0.6618 1
Se3 0.0006 0.5310 0.7304 1
O7 0.2713 0.9071 0.3382 1
O8 0.7713 0.5929 0.8382 1
O9 0.2748 0.0940 0.6583 1
O10 0.2287 0.4071 0.1618 1
O11 0.2252 0.5940 0.8417 1
O12 0.4974 0.2123 0.8958 1
Se4 0.9994 0.4690 0.2696 1
```



No. 2
Material: KRe2Si
Method: DFT, PBE-GGA
State: relaxed

Properties
Volume (A^3/atom): 16.6
Formation energy from raw total energies (eV/atom): 1.20
DOS(E_F) (states/eV per cell): 1.78
Space group: No. 216

```
data_KRe2Si
_chemical_formula_sum 'K1 Re2 Si1'
_cell_length_a 4.5428
_cell_length_b 4.5428
_cell_length_c 4.5428
_cell_angle_alpha 120.04
_cell_angle_beta 120.04
_cell_angle_gamma 89.92
_space_group_name_H-M_alt 'P 1'
_space_group_IT_number 1
loop_
_space_group_symop_operation_xyz
'x,y,z'
loop_
_atom_site_label
_atom_site_fract_x
_atom_site_fract_y
_atom_site_fract_z
_atom_site_occupancy
K1 0.7500 0.2500 0.5000 1
Re1 0.0000 0.0000 0.0000 1
Re2 0.2500 0.7500 0.5000 1
Si1 0.5000 0.5000 0.0000 1
```



No. 3
Material: TbPr5Tl2
Method: DFT, PBE-GGA
State: relaxed

Properties
Energy relative to the elements (meV per atom): -74
Volume (A^3/atom): 35.1
DOS(E_F) (states/eV per cell): 29.97
Space group: No. 194
E above lowest polymorph (meV per atom): 39

```
data_TbPr5Tl2
_chemical_formula_sum 'Tb2 Pr10 Tl4'
_cell_length_a 5.6252
_cell_length_b 5.6252
_cell_length_c 20.4711
_cell_angle_alpha 90.00
_cell_angle_beta 90.00
_cell_angle_gamma 120.00
_space_group_name_H-M_alt 'P 1'
_space_group_IT_number 1
loop_
_space_group_symop_operation_xyz
'x,y,z'
loop_
_atom_site_label
_atom_site_fract_x
_atom_site_fract_y
_atom_site_fract_z
_atom_site_occupancy
Tb1 0.6667 0.3333 0.7500 1
Pr1 0.6667 0.3333 0.0622 1
Pr2 0.0000 0.0000 0.3389 1
Pr3 0.3333 0.6667 0.5622 1
Tl1 0.6667 0.3333 0.9037 1
Pr4 0.3333 0.6667 0.9378 1
Pr5 0.6667 0.3333 0.4378 1
Tl2 0.3333 0.6667 0.4037 1
Pr6 0.0000 0.0000 0.6611 1
Pr7 0.6667 0.3333 0.2500 1
Tl3 0.3333 0.6667 0.0963 1
Pr8 0.0000 0.0000 0.1611 1
Pr9 0.0000 0.0000 0.8389 1
Tl4 0.6667 0.3333 0.5963 1
Tb2 0.3333 0.6667 0.2500 1
Pr10 0.3333 0.6667 0.7500 1
```



What is the volume in the second record? 16.6 A^3/atom



Which value of volume does entry 2 give? 16.6 A^3/atom



Among the records above, which one has the lowest volume? KRe2Si



What did the third record say?
Material: TbPr5Tl2
Method: DFT, PBE-GGA
State: relaxed

Properties
Energy relative to the elements (meV per atom): -74
Volume (A^3/atom): 35.1
DOS(E_F) (states/eV per cell): 29.97
Space group: No. 194
E above lowest polymorph (meV per atom): 39

```
data_TbPr5Tl2
_chemical_formula_sum 'Tb2 Pr10 Tl4'
_cell_length_a 5.6252
_cell_length_b 5.6252
_cell_length_c 20.4711
_cell_angle_alpha 90.00
_cell_angle_beta 90.00
_cell_angle_gamma 120.00
_space_group_name_H-M_alt 'P 1'
_space_group_IT_number 1
loop_
_space_group_symop_operation_xyz
'x,y,z'
loop_
_atom_site_label
_atom_site_fract_x
_atom_site_fract_y
_atom_site_fract_z
_atom_site_occupancy
Tb1 0.6667 0.3333 0.7500 1
Pr1 0.6667 0.3333 0.0622 1
Pr2 0.0000 0.0000 0.3389 1
Pr3 0.3333 0.6667 0.5622 1
Tl1 0.6667 0.3333 0.9037 1
Pr4 0.3333 0.6667 0.9378 1
Pr5 0.6667 0.3333 0.4378 1
Tl2 0.3333 0.6667 0.4037 1
Pr6 0.0000 0.0000 0.6611 1
Pr7 0.6667 0.3333 0.2500 1
Tl3 0.3333 0.6667 0.0963 1
Pr8 0.0000 0.0000 0.1611 1
Pr9 0.0000 0.0000 0.8389 1
Tl4 0.6667 0.3333 0.5963 1
Tb2 0.3333 0.6667 0.2500 1
Pr10 0.3333 0.6667 0.7500 1
```